# PBE+U ScMnGa2O6, relaxed
# - total magnetization (μB/f.u.) = 2.00
# - crystal system = triclinic
# - raw total energy (eV/atom) = -6.99
# - calculated density (g/cm3) = 5.30
data_ScMnGa2O6
_chemical_formula_sum 'Sc1 Mn1 Ga2 O6'
_space_group_name_H-M_alt 'P 1'
_space_group_IT_number 1
_cell_length_a 5.124
_cell_length_b 5.126
_cell_length_c 5.483
_cell_angle_alpha 117.83
_cell_angle_beta 90.12
_cell_angle_gamma 119.87
loop_
_space_group_symop_operation_xyz
'x,y,z'
loop_
_atom_site_label
_atom_site_type_symbol
_atom_site_fract_x
_atom_site_fract_y
_atom_site_fract_z
Sc1 Sc 0.000 0.000 0.000
Mn1 Mn 0.488 0.977 0.465
Ga1 Ga 0.280 0.559 0.839
Ga2 Ga 0.789 0.580 0.371
O1 O 0.089 0.771 0.185
O2 O 0.199 0.780 0.672
O3 O 0.410 0.501 0.183
O4 O 0.581 0.471 0.672
O5 O 0.682 0.093 0.184
O6 O 0.890 0.091 0.673